CoIO | GGA+U | relaxed

As for the total energy: -25.108 eV/cell. The calculation puts the total magnetization at 0.020 μB per formula unit.

The space group is Pmmn (No. 59, origin choice 2) and the conventional cell measures 3.3055, 3.8118 and 9.3049 Å, with angles of 90.00, 90.00 and 90.00 degrees. The inequivalent atoms are Co at (0.2500, 0.2500, 0.0845), I at (0.2500, 0.7500, 0.7076) and O at (0.2500, 0.7500, 0.0439).